# 1
VASP calculation (PBE) on a relaxed structure of Y2ZnSe.

E_form (uncorrected) (eV/atom): -0.663
Final energy (eV for the cell shown): -40.68
Calculated density (g/cm3): 5.16
Total magnetization (μB/atom): 0.231
ΔE to the lowest computed polymorph (eV/atom): 0.4193

```
Y2ZnSe
1.0
-3.8505 3.8505 3.4964
3.8505 -3.8505 3.4964
3.8505 3.8505 -3.4964
Y Zn Se
4 2 2
direct
0.1168 0.6250 0.9918 Y
0.3750 0.3668 0.4918 Y
0.6332 0.1250 0.0082 Y
0.8750 0.8832 0.5082 Y
0.2500 0.7500 0.5000 Zn
0.5000 0.5000 0.0000 Zn
0.0000 0.0000 0.0000 Se
0.7500 0.2500 0.5000 Se
```

# 2
VASP calculation (PBE) on a relaxed structure of Y5Zn2Se2.

E_form (uncorrected) (eV/atom): -0.900
Final energy (eV for the cell shown): -99.88
Calculated density (g/cm3): 5.54
Total magnetization (μB/atom): 0.000

```
Y5Zn2Se2
1.0
7.5210 -3.8579 0.0000
7.5210 3.8579 0.0000
0.0000 0.0000 7.5721
Y Zn Se
10 4 4
direct
0.0000 0.0000 0.0000 Y
0.0310 0.6911 0.6608 Y
0.1911 0.5310 0.1608 Y
0.3089 0.9690 0.6608 Y
0.4690 0.8089 0.1608 Y
0.5000 0.5000 0.5000 Y
0.5310 0.1911 0.8392 Y
0.6911 0.0310 0.3392 Y
0.8089 0.4690 0.8392 Y
0.9690 0.3089 0.3392 Y
0.1263 0.8737 0.3795 Zn
0.3737 0.6263 0.8795 Zn
0.6263 0.3737 0.1205 Zn
0.8737 0.1263 0.6205 Zn
0.1986 0.1986 0.0000 Se
0.3014 0.3014 0.5000 Se
0.6986 0.6986 0.5000 Se
0.8014 0.8014 0.0000 Se
```

# 3
VASP calculation (PBE) on a relaxed structure of Y2ZnSe.

E_form (uncorrected) (eV/atom): -0.789
Final energy (eV for the cell shown): -20.84
Calculated density (g/cm3): 5.84
Total magnetization (μB/atom): 0.000
ΔE to the lowest computed polymorph (eV/atom): 0.2934

```
Y2ZnSe
1.0
3.3903 -3.8890 0.0000
3.3903 3.8890 0.0000
0.0000 0.0000 3.4750
Y Zn Se
2 1 1
direct
0.0000 0.5000 0.0000 Y
0.5000 0.0000 0.0000 Y
0.0000 0.0000 0.5000 Zn
0.5000 0.5000 0.5000 Se
```